[1]
Entry from Alexandria: an optimized crystal structure of Ac2YCd2 (PBE-GGA).

Space group   Immm, No. 71
Formation energy   -0.16 eV/atom

a b c (Å): 7.019 7.019 7.019
angles (deg): 145.80 114.44 76.06
Fractional positions:
Ac 0.217 0.217 0.000
Ac 0.783 0.783 0.000
Y 0.500 0.000 0.500
Cd 0.197 0.500 0.697
Cd 0.803 0.500 0.303


[2]
Entry from Alexandria: an optimized crystal structure of CeDy6S8 (PBE-GGA).

Space group   Fm-3m, No. 225
E_form (uncorrected)   -2017 meV per atom

a b c (Å): 7.818 7.818 7.818
angles (deg): 60.00 60.00 60.00
Fractional positions:
Ce 0.000 0.000 0.000
Dy 0.000 0.000 0.500
Dy 0.000 0.500 0.000
Dy 0.000 0.500 0.500
Dy 0.500 0.000 0.000
Dy 0.500 0.000 0.500
Dy 0.500 0.500 0.000
S 0.250 0.250 0.250
S 0.256 0.256 0.744
S 0.256 0.744 0.256
S 0.256 0.744 0.744
S 0.744 0.256 0.256
S 0.744 0.256 0.744
S 0.744 0.744 0.256
S 0.750 0.750 0.750


What density of states at the Fermi level values result from the calculations? In sequence: 5.2, 12.0 states/eV/f.u..